The following is a DFT calculation (PBE) of TbGdAgPt after structural relaxation.

a = 5.0601 Å, b = 5.0601 Å, c = 5.0601 Å
α = 60.00°, β = 60.00°, γ = 60.00°
Last column: nearest neighbours and their distance in Å.
Fractional coordinates of all 4 atoms:
Tb1 0.0000 0.0000 0.0000  4 Pt 3.10, 4 Ag 3.10
Gd1 0.5000 0.5000 0.5000  4 Pt 3.10, 4 Ag 3.10
Ag1 0.2500 0.2500 0.2500  4 Gd 3.10, 4 Tb 3.10
Pt1 0.7500 0.7500 0.7500  4 Gd 3.10, 4 Tb 3.10

Summary:
SG: F-43m, No. 216
Energy of formation from the pure elements (eV per atom): -0.754